## i
The following is a DFT calculation (GGA-PBE) of Tb5Pr2Nd12 after structural relaxation.

Lattice parameters (Å, degrees): 11.814 10.833 6.282 100.62 90.00 123.04
Element x y z (fractional)
Nd 0.457 0.398 0.201
Nd 0.853 0.208 0.614
Nd 0.556 0.113 0.275
Nd 0.123 0.247 0.995
Nd 0.354 0.208 0.614
Nd 0.646 0.792 0.386
Nd 0.941 0.398 0.201
Nd 0.543 0.602 0.799
Nd 0.877 0.753 0.005
Nd 0.059 0.602 0.799
Nd 0.147 0.792 0.386
Nd 0.444 0.887 0.725
Tb 0.000 0.000 0.500
Tb 0.214 0.428 0.547
Tb 0.677 0.354 0.858
Tb 0.786 0.572 0.453
Tb 0.323 0.646 0.142
Pr 0.774 0.000 0.000
Pr 0.226 0.000 0.000

Output
Crystal system   monoclinic
Total magnetic moment   0.00 μB per formula unit
Space group   C2/m, No. 12

---

## ii
The following is a DFT calculation (GGA-PBE) of Tb5Pr2Nd12 after structural relaxation.

Lattice parameters (Å, degrees): 10.204 9.570 8.058 89.17 90.00 122.22
Element x y z (fractional)
Nd 0.621 0.789 0.389
Nd 0.832 0.211 0.611
Nd 0.841 0.681 0.122
Nd 0.038 0.617 0.792
Nd 0.159 0.319 0.878
Nd 0.962 0.383 0.208
Nd 0.579 0.617 0.792
Nd 0.421 0.383 0.208
Nd 0.448 0.897 0.711
Nd 0.379 0.211 0.611
Nd 0.552 0.103 0.289
Nd 0.168 0.789 0.389
Pr 0.776 0.000 0.000
Pr 0.224 0.000 0.000
Tb 0.247 0.495 0.511
Tb 0.352 0.705 0.083
Tb 0.753 0.505 0.489
Tb 0.648 0.295 0.917
Tb 0.000 0.000 0.500

Output
Crystal system   monoclinic
Total magnetic moment   0.00 μB per formula unit
Space group   C2/m, No. 12

---

Which one sits at the bottom of the stability order? ii does.

---

## i
The following is a DFT calculation (GGA-PBE) of Tb2PrNd after structural relaxation.

Lattice parameters (Å, degrees): 5.097 5.146 5.146 90.00 90.00 90.00
Element x y z (fractional)
Pr 0.500 0.500 0.500
Tb 0.000 0.500 0.000
Tb 0.000 0.000 0.500
Nd 0.500 0.000 0.000

Output
Crystal system   tetragonal
Total magnetic moment   0.00 μB per formula unit
Space group   P4/mmm, No. 123

---

## ii
The following is a DFT calculation (GGA-PBE) of Tb2PrNd after structural relaxation.

Lattice parameters (Å, degrees): 3.634 3.634 11.965 81.27 81.27 60.00
Element x y z (fractional)
Nd 0.000 0.000 0.000
Tb 0.250 0.250 0.249
Tb 0.750 0.750 0.751
Pr 0.500 0.500 0.500

Output
Crystal system   trigonal
Total magnetic moment   0.00 μB per formula unit
Space group   R-3m, No. 166

---

Which one sits at the bottom of the stability order? i does.

---

## i
The following is a DFT calculation (GGA-PBE) of Tb3Pr5Nd2 after structural relaxation.

Lattice parameters (Å, degrees): 6.918 12.650 12.650 44.35 74.13 74.13
Element x y z (fractional)
Pr 0.750 0.500 0.500
Pr 0.250 0.500 0.500
Pr 0.504 0.246 0.246
Pr 0.872 0.534 0.723
Pr 0.496 0.754 0.754
Pr 0.004 0.246 0.246
Pr 0.372 0.723 0.534
Pr 0.628 0.277 0.466
Pr 0.996 0.754 0.754
Pr 0.128 0.466 0.277
Tb 0.882 0.872 0.365
Tb 0.382 0.365 0.872
Tb 0.750 0.000 0.000
Tb 0.250 0.000 0.000
Tb 0.118 0.128 0.635
Tb 0.618 0.635 0.128
Nd 0.120 0.783 0.977
Nd 0.380 0.023 0.217
Nd 0.880 0.217 0.023
Nd 0.620 0.977 0.783

Output
Crystal system   orthorhombic
Total magnetic moment   0.00 μB per formula unit
Space group   Ibam, No. 72

---

## ii
The following is a DFT calculation (GGA-PBE) of Tb3Pr5Nd2 after structural relaxation.

Lattice parameters (Å, degrees): 10.110 10.138 11.358 128.89 128.83 65.94
Element x y z (fractional)
Tb 0.230 0.980 0.961
Tb 0.728 0.467 0.248
Tb 0.980 0.219 0.752
Tb 0.020 0.781 0.248
Tb 0.272 0.533 0.752
Tb 0.770 0.020 0.039
Nd 0.470 0.727 0.756
Nd 0.785 0.028 0.756
Nd 0.215 0.972 0.244
Nd 0.530 0.273 0.244
Pr 0.874 0.620 0.757
Pr 0.482 0.732 0.464
Pr 0.724 0.474 0.948
Pr 0.022 0.772 0.544
Pr 0.126 0.380 0.243
Pr 0.518 0.268 0.536
Pr 0.978 0.228 0.456
Pr 0.383 0.137 0.757
Pr 0.276 0.526 0.052
Pr 0.617 0.863 0.243

Output
Crystal system   monoclinic
Total magnetic moment   0.00 μB per formula unit
Space group   C2/c, No. 15

---

Which one sits at the bottom of the stability order? i does.

---

## i
The following is a DFT calculation (GGA-PBE) of Tb3PrNd7 after structural relaxation.

Lattice parameters (Å, degrees): 3.638 11.094 11.094 120.00 90.00 90.00
Element x y z (fractional)
Nd 0.465 0.641 0.821
Nd 0.465 0.179 0.821
Nd 0.965 0.261 0.130
Nd 0.965 0.870 0.130
Nd 0.965 0.870 0.739
Nd 0.965 0.333 0.667
Nd 0.465 0.179 0.359
Tb 0.965 0.511 0.021
Tb 0.965 0.979 0.489
Tb 0.965 0.511 0.489
Pr 0.465 0.667 0.333

Output
Crystal system   hexagonal
Total magnetic moment   0.00 μB per formula unit
Space group   P-6m2, No. 187

---

## ii
The following is a DFT calculation (GGA-PBE) of Tb3PrNd7 after structural relaxation.

Lattice parameters (Å, degrees): 5.980 8.612 8.612 83.39 110.27 110.27
Element x y z (fractional)
Tb 0.500 0.000 0.000
Tb 0.000 0.797 0.203
Tb 0.000 0.203 0.797
Nd 0.208 0.209 0.209
Nd 0.699 0.994 0.403
Nd 0.301 0.006 0.597
Nd 0.792 0.791 0.791
Nd 0.000 0.500 0.500
Nd 0.699 0.403 0.994
Nd 0.301 0.597 0.006
Pr 0.500 0.500 0.500

Output
Crystal system   orthorhombic
Total magnetic moment   0.12 μB per formula unit
Space group   Immm, No. 71

---

Which one sits at the bottom of the stability order? ii does.